Entry 1:
10
Lattice="-3.3830 3.3830 5.4336 3.3830 -3.3830 5.4336 3.3830 3.3830 -5.4336" Properties=species:S:1:pos:R:3 comment="PBE-GGA Rb2TaBeCl6, optimized geometry" e_form_raw_ev_per_fu=-11.38 sg="No. 139" pbc="T T T"
Rb 3.3830 0.0000 2.7168
Rb 0.0000 3.3830 2.7168
Ta 0.0000 0.0000 0.0000
Be 0.0000 0.0000 5.4336
Cl 0.0000 0.0000 2.5487
Cl 1.8310 1.8310 0.0000
Cl 1.5520 -1.5520 5.4336
Cl -1.5520 1.5520 5.4336
Cl 1.5520 1.5520 5.4336
Cl 0.0000 0.0000 8.3186

***

Entry 2:
7
Lattice="2.4811 1.4325 8.9754 -2.4811 1.4325 8.9754 0.0000 -2.8649 8.9754" Properties=species:S:1:pos:R:3 comment="PBE-GGA Li2CeTl4, optimized geometry" e_form_ev_per_fu=-0.9 sg="No. 166" e_above_lowest_polymorph_mev_per_atom=37 pbc="T T T"
Li 0.0000 0.0000 3.5326
Li 0.0000 0.0000 23.3936
Ce 0.0000 0.0000 0.0000
Tl 0.0000 0.0000 6.3898
Tl 0.0000 0.0000 10.4720
Tl 0.0000 0.0000 16.4541
Tl 0.0000 0.0000 20.5363